1.
A geometry-optimized Ga2Cu2Tc structure, computed with PBE.

Cell: 3.4096 3.4096 6.5967 Å, 75.02 75.02 90.00°
Positions (direct):
Cu  0.7500  0.2500  0.5000
Cu  0.2500  0.7500  0.5000
Tc  0.0000  0.0000  0.0000
Ga  0.3995  0.3995  0.2010
Ga  0.6005  0.6005  0.7990

Results
D(E_F) = 1.74 states/eV/f.u.
total magnetic moment = 0.672 μB/cell
raw total energy = -4.8219 eV/atom
crystal system = tetragonal
excess energy over the best structure of this formula in the dataset = 46 meV per atom
formation energy = 100 meV per atom



2.
A geometry-optimized BeB2Pd6 structure, computed with PBE.

Cell: 4.0828 5.7824 6.1517 Å, 74.96 70.62 69.33°
Positions (direct):
Be  0.0000  0.5000  0.5000
B  0.1840  0.7438  0.8882
B  0.8160  0.2562  0.1118
Pd  0.7440  0.6375  0.8745
Pd  0.2560  0.3625  0.1255
Pd  0.9642  0.8569  0.2146
Pd  0.3605  0.7464  0.5326
Pd  0.0358  0.1431  0.7854
Pd  0.6395  0.2536  0.4674

Results
D(E_F) = 1.68 states/eV/f.u.
total magnetic moment = 0.000 μB/cell
raw total energy = -5.5442 eV/atom
crystal system = monoclinic
formation energy = -184 meV per atom



What did the second record say?
A geometry-optimized BeB2Pd6 structure, computed with PBE.

Cell: 4.0828 5.7824 6.1517 Å, 74.96 70.62 69.33°
Positions (direct):
Be  0.0000  0.5000  0.5000
B  0.1840  0.7438  0.8882
B  0.8160  0.2562  0.1118
Pd  0.7440  0.6375  0.8745
Pd  0.2560  0.3625  0.1255
Pd  0.9642  0.8569  0.2146
Pd  0.3605  0.7464  0.5326
Pd  0.0358  0.1431  0.7854
Pd  0.6395  0.2536  0.4674

Results
D(E_F) = 1.68 states/eV/f.u.
total magnetic moment = 0.000 μB/cell
raw total energy = -5.5442 eV/atom
crystal system = monoclinic
formation energy = -184 meV per atom